#a
Computed, not measured: crystalline NaSBrCl2 at its relaxed geometry at the PBE level of DFT.

a b c (Å): 5.202 5.202 5.721
angles (deg): 90.00 90.00 90.00
Site moments in Bohr magnetons follow the coordinates.
Atoms (fractional coordinates):
Na: 0.000 0.000 0.000  0.00
Cl: 0.500 0.000 0.000  0.40
Cl: 0.000 0.500 0.000  0.40
Br: 0.500 0.500 0.500  0.74
S: 0.000 0.000 0.500  1.22

Properties
total moment = 4.0 Bohr magnetons per cell
space group = P4/mmm, No. 123

***

#b
Computed, not measured: crystalline NaSBrCl2 at its relaxed geometry at the PBE level of DFT.

a b c (Å): 5.381 5.381 4.891
angles (deg): 90.00 90.00 90.00
Site moments in Bohr magnetons follow the coordinates.
Atoms (fractional coordinates):
S: 0.000 0.000 0.500  0.14
Cl: 0.500 0.000 0.000  0.00
Cl: 0.000 0.500 0.000  0.00
Br: 0.000 0.000 0.000  0.04
Na: 0.500 0.500 0.500  0.00

Properties
total moment = 0.3 Bohr magnetons per cell
space group = P4/mmm, No. 123

***

Energy relative to the most stable one, in meV per atom: #a 349; #b 0